No. 1
DFT (GGA-PBE) results for a geometry-optimized Al2Ga2Bi structure.

Cell and atoms, written as extended XYZ:
```
5
Lattice="-2.077 2.077 6.214 2.077 -2.077 6.214 2.077 2.077 -6.214" Properties=species:S:1:pos:R:3 pbc="T T T"
Al 0.000 0.000 1.327
Al 0.000 0.000 11.102
Ga 2.077 0.000 3.107
Ga 0.000 2.077 3.107
Bi 0.000 0.000 6.214
```

Results
V (Å³ per atom): 21.441
Final energy (eV per atom): -3.373
Formation energy from the elements (eV per formula unit): 0.6
ΔE to the lowest computed polymorph (kJ/mol of formula units): 3
Crystal system: tetragonal

No. 2
DFT (GGA-PBE) results for a geometry-optimized La2ScMo structure.

Cell and atoms, written as extended XYZ:
```
4
Lattice="1.804 -2.815 0.000 1.804 2.815 0.000 0.000 0.000 10.474" Properties=species:S:1:pos:R:3 pbc="T T T"
La 0.000 0.000 2.215
La 0.000 0.000 8.260
Sc 1.804 0.000 5.237
Mo 1.804 0.000 0.000
```

Results
V (Å³ per atom): 26.597
Final energy (eV per atom): -6.324
Formation energy from the elements (eV per formula unit): 1.7
ΔE to the lowest computed polymorph (kJ/mol of formula units): 70
Crystal system: orthorhombic

No. 3
DFT (GGA-PBE) results for a geometry-optimized AgPd structure.

Cell and atoms, written as extended XYZ:
```
2
Lattice="0.000 3.015 3.015 3.015 0.000 3.015 3.015 3.015 0.000" Properties=species:S:1:pos:R:3 pbc="T T T"
Ag 0.000 0.000 0.000
Pd 1.508 1.508 1.508
```

Results
V (Å³ per atom): 27.409
Final energy (eV per atom): -3.003
Formation energy from the elements (eV per formula unit): 2.0
Crystal system: cubic

No. 4
DFT (GGA-PBE) results for a geometry-optimized PrSmGe2 structure.

Cell and atoms, written as extended XYZ:
```
4
Lattice="2.162 1.248 6.881 -2.162 1.248 6.881 0.000 -2.497 6.881" Properties=species:S:1:pos:R:3 pbc="T T T"
Pr 0.000 0.000 0.000
Sm 0.000 0.000 10.321
Ge 0.000 0.000 5.109
Ge 0.000 0.000 15.533
```

Results
V (Å³ per atom): 27.859
Final energy (eV per atom): -5.335
Formation energy from the elements (eV per formula unit): -2.6
ΔE to the lowest computed polymorph (kJ/mol of formula units): 75
Crystal system: trigonal

No. 5
DFT (GGA-PBE) results for a geometry-optimized Tl2BrF structure.

Cell and atoms, written as extended XYZ:
```
16
Lattice="6.736 0.000 0.000 0.000 6.749 0.000 -5.616 0.000 11.754" Properties=species:S:1:pos:R:3 pbc="T T T"
Tl -0.018 1.661 1.079
Tl -2.826 5.088 6.956
Tl -2.609 1.400 9.884
Tl 0.199 5.349 4.007
Tl 0.921 1.400 7.747
Tl 3.729 5.349 1.870
Tl 3.946 1.661 4.798
Tl 1.138 5.088 10.675
Br 0.558 1.737 4.457
Br -2.250 5.012 10.334
Br 3.370 1.737 1.420
Br 0.562 5.012 7.298
F -3.356 0.807 7.277
F -0.548 5.942 1.400
F 1.668 0.807 10.354
F 4.475 5.942 4.477
```

Results
V (Å³ per atom): 33.395
Final energy (eV per atom): -3.353
Uncorrected formation energy (eV per atom): -1.2836
ΔE to the lowest computed polymorph (kJ/mol of formula units): 0
Crystal system: monoclinic

No. 6
DFT (GGA-PBE) results for a geometry-optimized Tl2CrCl structure.

Cell and atoms, written as extended XYZ:
```
8
Lattice="5.420 0.000 0.000 -2.710 5.740 0.000 -0.042 -3.002 7.159" Properties=species:S:1:pos:R:3 pbc="T T T"
Tl 0.000 0.000 0.000
Tl -0.021 -1.501 3.580
Tl -0.014 3.542 1.894
Tl 2.682 -0.804 5.266
Cr -0.033 -0.264 6.231
Cr 2.701 3.003 0.929
Cl -0.027 1.830 5.205
Cl 2.695 0.909 1.954
```

Results
V (Å³ per atom): 27.845
Final energy (eV per atom): -4.081
Uncorrected formation energy (eV per atom): -0.0305
ΔE to the lowest computed polymorph (kJ/mol of formula units): 19
Crystal system: triclinic

No. 7
DFT (GGA-PBE) results for a geometry-optimized CsHRh3 structure.

Cell and atoms, written as extended XYZ:
```
5
Lattice="4.245 0.000 0.000 0.000 4.245 0.000 0.000 0.000 4.245" Properties=species:S:1:pos:R:3 pbc="T T T"
Cs 0.000 0.000 0.000
H 2.123 2.123 2.123
Rh 0.000 2.123 2.123
Rh 2.123 0.000 2.123
Rh 2.123 2.123 0.000
```

Results
V (Å³ per atom): 15.302
Final energy (eV per atom): -4.370
ΔE to the lowest computed polymorph (kJ/mol of formula units): 0
Crystal system: cubic

No. 8
DFT (GGA-PBE) results for a geometry-optimized MnTe2Au structure.

Cell and atoms, written as extended XYZ:
```
8
Lattice="7.139 0.000 0.000 0.000 3.992 0.000 -2.879 0.000 7.075" Properties=species:S:1:pos:R:3 pbc="T T T"
Mn 0.482 0.998 0.840
Mn 3.778 2.994 6.236
Te -0.787 2.994 1.951
Te 1.513 2.994 5.040
Te 2.747 0.998 2.035
Te 5.047 0.998 5.124
Au -0.564 2.994 6.972
Au 4.824 0.998 0.103
```

Results
V (Å³ per atom): 25.201
Final energy (eV per atom): -4.700
Uncorrected formation energy (eV per atom): -0.0177
ΔE to the lowest computed polymorph (kJ/mol of formula units): 28
Crystal system: monoclinic